No. 1
Be17CuOs after structural relaxation. Source: the Alexandria database, functional PBE-GGA.

The space group is R3m (No. 160, hexagonal axes) and the conventional cell measures 7.1734, 7.1734 and 10.8322 Å, with angles of 90.00, 90.00 and 120.00 degrees. The asymmetric unit holds Be at (0.0000, 0.0000, 0.0579), Be at (0.0000, 0.0000, 0.2580), Be at (0.0020, 0.3122, 0.1582), Be at (0.0064, 0.5032, 0.6535), Be at (0.1674, 0.3349, 0.6494), Be at (0.1735, 0.3470, 0.3333), Cu at (0.0000, 0.0000, 0.5356) and Os at (0.0000, 0.0000, 0.8341).

The calculation puts the formation energy at -0.079 eV/atom. The volume is 482.72 Å³/cell. The calculation puts the magnetic moment at 0.00 μB per formula unit. The calculation puts the total energy at -4.219 eV/atom.


No. 2
Rb2Cd2Ag3 after structural relaxation. Source: the Alexandria database, functional PBE-GGA.

The space group is C2/m (No. 12) and the conventional cell measures 14.512, 4.917 and 6.797 Å, with angles of 90.00, 108.10 and 90.00 degrees. The asymmetric unit holds Rb at (0.136, 0.000, 0.032), Cd at (0.103, 0.500, 0.503), Ag at (0.000, 0.000, 0.500) and Ag at (0.208, 0.000, 0.554).

The calculation puts the formation energy at -0.037 eV/atom. The polymorph energy (0 for the lowest one) is 0 meV per atom. The volume is 461.03 Å³/cell. The calculation puts the magnetic moment at 0.00 μB per formula unit. The calculation puts the total energy at -1.797 eV/atom.


Q: Among the records above, which one has the highest volume?
A: Be17CuOs


Q: volume of number 2 (Rb2Cd2Ag3)?
A: 461.03 Å³/cell


Q: Which value of total energy does entry 2 give?
A: -1.797 eV/atom


Q: total energy of number 2 (Rb2Cd2Ag3)?
A: -1.797 eV/atom